--- 1 ---
# CeZr3O8

An optimized crystal structure of CeZr3O8 (PBE, the Alexandria database).

Cell lengths 7.4286, 7.4286, 5.3281 Å; angles 88.49, 88.49, 90.29 degrees
Positions (direct):
O  0.1346  0.0959  0.4278
O  0.1313  0.6189  0.9560
O  0.1042  0.6428  0.4723
O  0.3765  0.3573  0.0263
O  0.3573  0.3765  0.5263
Ce  0.6296  0.3704  0.7500
O  0.8958  0.3572  0.5277
Zr  0.8839  0.1161  0.2500
O  0.6189  0.1313  0.4560
Zr  0.1161  0.8839  0.7500
Ce  0.3704  0.6296  0.2500
O  0.9041  0.8654  0.0722
Zr  0.3845  0.1225  0.2515
O  0.6235  0.6427  0.9737
O  0.0959  0.1346  0.9278
O  0.6427  0.6235  0.4737
Zr  0.8775  0.6155  0.2485
Zr  0.6155  0.8775  0.7485
O  0.8654  0.9041  0.5722
O  0.3811  0.8687  0.5440
O  0.3572  0.8958  0.0277
O  0.8687  0.3811  0.0440
Zr  0.1225  0.3845  0.7515
O  0.6428  0.1042  0.9723

Values from the calculation:
- D(E_F) (states/eV/cell) = 0.00
- crystal system = monoclinic
- SG = C2/c

--- 2 ---
# CeZr3O8

An optimized crystal structure of CeZr3O8 (PBE, the Alexandria database).

Cell lengths 6.4966, 6.4966, 3.7067 Å; angles 90.00, 90.00, 110.78 degrees
Positions (direct):
O  0.6532  0.3468  0.0000
O  0.1500  0.8500  0.0000
O  0.6077  0.9109  0.5000
O  0.3445  0.1344  0.5000
Zr  0.0050  0.5050  0.0000
Ce  0.5020  0.4980  0.5000
Zr  0.4950  0.9950  0.0000
Zr  0.9971  0.0029  0.5000
O  0.3870  0.6130  0.0000
O  0.8656  0.6555  0.5000
O  0.9039  0.0961  0.0000
O  0.0891  0.3923  0.5000

Values from the calculation:
- D(E_F) (states/eV/cell) = 0.00
- crystal system = orthorhombic
- SG = Amm2

Tell me which of them is the least stable. Sure, it is 2.

--- 1 ---
# CeP2Os

An optimized crystal structure of CeP2Os (PBE, the Alexandria database).

Cell lengths 4.0168, 4.0169, 5.5310 Å; angles 111.29, 111.29, 89.99 degrees
Each line ends with the local moment (μB).
Positions (direct):
P  0.8506  0.5104  0.4868  0.00
Os  0.4713  0.6311  0.7282  0.00
Ce  0.2212  0.8813  0.2282  0.08
P  0.5921  0.2519  0.9696  0.00

Values from the calculation:
- D(E_F) (states/eV/cell) = 3.56
- crystal system = tetragonal
- SG = I-4m2

--- 2 ---
# CeP2Os

An optimized crystal structure of CeP2Os (PBE, the Alexandria database).

Cell lengths 4.0182, 4.0182, 9.7756 Å; angles 102.02, 102.02, 89.22 degrees
Each line ends with the local moment (μB).
Positions (direct):
Ce  0.1244  0.1244  0.2240  0.39
Os  0.7535  0.2535  0.5000  0.00
Ce  0.9004  0.9004  0.7760  0.39
P  0.3205  0.3205  0.6332  0.00
P  0.5269  0.9332  0.0000  0.00
Os  0.2535  0.7535  0.5000  0.00
P  0.6873  0.6873  0.3668  0.00
P  0.9332  0.5269  0.0000  0.00

Values from the calculation:
- D(E_F) (states/eV/cell) = 7.72
- crystal system = orthorhombic
- SG = Fmm2

--- 3 ---
# CeP2Os

An optimized crystal structure of CeP2Os (PBE, the Alexandria database).

Cell lengths 3.9114, 3.9114, 5.7610 Å; angles 70.16, 70.16, 60.00 degrees
Each line ends with the local moment (μB).
Positions (direct):
P  0.7269  0.7269  0.8194  -0.01
Os  0.0000  0.0000  0.0000  -0.03
P  0.2731  0.2731  0.1806  -0.01
Ce  0.5000  0.5000  0.5000  0.20

Values from the calculation:
- crystal system = trigonal
- SG = R-3m

Tell me which of them is the least stable. Sure, it is 1.